VASP calculation (PBE with a Hubbard U) on an optimized crystal structure of CsPaCoO4.

Its crystal system is orthorhombic. The total DFT energy (no corrections) comes out at -7.2696 eV per atom.

Cell: 6.293 7.112 11.522 Å, 90.00 90.00 90.00°
Space group Imma (No. 74)
One atom of each set of equivalent atoms:
1 Cs 0.000 0.250 0.176
2 Pa 0.000 0.000 0.500
3 Co 0.250 0.250 0.750
4 O 0.000 0.070 0.690
5 O 0.202 0.250 0.492